BaZr2TiIn | GGA-PBEsol | optimized geometry

Values from the calculation:
space group	P4/mmm
formation enthalpy at 0 K	0.94	eV/atom

a = 5.1664 Å, b = 5.4449 Å, c = 5.4449 Å
α = 90.00°, β = 90.00°, γ = 90.00°
With the nearest neighbours (Å) after each atom.
Sites, in units of the cell vectors:
Zr (0.0000, 0.0000, 0.5000)  2 In 2.72
Ti (0.5000, 0.0000, 0.0000)  2 In 2.58
Zr (0.0000, 0.5000, 0.0000)  2 In 2.72
Ba (0.5000, 0.5000, 0.5000)  8 Zr 3.75, 4 Ti 3.85
In (0.0000, 0.0000, 0.0000)  2 Ti 2.58, 4 Zr 2.72


Co2C2Br | GGA-PBEsol | optimized geometry

Values from the calculation:
space group	I4/mmm
ΔE_f (raw)	0.757	eV/atom

a = 3.0452 Å, b = 3.0452 Å, c = 6.3314 Å
α = 103.92°, β = 103.92°, γ = 90.00°
With the nearest neighbours (Å) after each atom.
Sites, in units of the cell vectors:
Co (0.3448, 0.3448, 0.6895)  4 C 1.90
C (0.2500, 0.7500, 0.5000)  4 Co 1.90
C (0.7500, 0.2500, 0.5000)  4 Co 1.90
Br (0.0000, 0.0000, 0.0000)  8 Co 2.84, 4 Br 3.05
Co (0.6552, 0.6552, 0.3105)  4 C 1.90


LaBe2Tl | GGA-PBEsol | optimized geometry

Values from the calculation:
space group	P4mm
ΔE to the lowest computed polymorph	34	meV per atom
formation enthalpy at 0 K	0.24	eV/atom

a = 3.1290 Å, b = 3.1290 Å, c = 7.5181 Å
α = 90.00°, β = 90.00°, γ = 90.00°
With the nearest neighbours (Å) after each atom.
Sites, in units of the cell vectors:
Tl (0.5000, 0.5000, 0.8109)  5 Be 2.68-2.90
La (0.0000, 0.0000, 0.4600)  5 Be 3.00-3.12, 4 La 3.13
Be (0.0000, 0.0000, 0.0610)  4 Be 2.35
Be (0.5000, 0.5000, 0.1680)  4 Be 2.35


| no. | M_tot (μB/atom) |
| --- | --- |
| 1 | 0.46 |
| 2 | 0.00 |
| 3 | 0.00 |